Entry 1:
DFT (GGA-PBEsol) results for a relaxed structure of Be2HgMo.

Summary:
Total magnetization (Bohr magnetons per cell): 6.3
VASP energy (eV per atom): -4.34
E_form (kJ per mole of atoms): 71.8

```
data_Be2HgMo
_symmetry_space_group_name_H-M 'F -4 3 m'
_symmetry_Int_Tables_number 216
_symmetry_space_group_name_Hall 'F -4 2 3'
_cell_length_a 6.085
_cell_length_b 6.085
_cell_length_c 6.085
_cell_angle_alpha 90.00
_cell_angle_beta 90.00
_cell_angle_gamma 90.00
loop_
_atom_site_label
_atom_site_type_symbol
_atom_site_fract_x
_atom_site_fract_y
_atom_site_fract_z
Be1 Be 0.000 0.000 0.000
Be2 Be 0.250 0.250 0.250
Hg1 Hg 0.000 0.000 0.500
Mo1 Mo 0.250 0.250 0.750
```


Entry 2:
DFT (GGA-PBEsol) results for a relaxed structure of BeHgMo2.

Summary:
Total magnetization (Bohr magnetons per cell): 0.0
VASP energy (eV per atom): -6.65
E_form (kJ per mole of atoms): 36.3

```
data_BeHgMo2
_symmetry_space_group_name_H-M 'P m m m'
_symmetry_Int_Tables_number 47
_cell_length_a 3.449
_cell_length_b 3.924
_cell_length_c 4.387
_cell_angle_alpha 90.00
_cell_angle_beta 90.00
_cell_angle_gamma 90.00
loop_
_symmetry_equiv_pos_as_xyz
'x,y,z'
'-x,-y,-z'
'-x,-y,z'
'x,y,-z'
'x,-y,-z'
'-x,y,z'
'-x,y,-z'
'x,-y,z'
loop_
_atom_site_label
_atom_site_type_symbol
_atom_site_fract_x
_atom_site_fract_y
_atom_site_fract_z
Be1 Be 0.000 0.000 0.000
Hg1 Hg 0.500 0.500 0.000
Mo1 Mo 0.000 0.500 0.500
Mo2 Mo 0.500 0.000 0.500
```


Entry 3:
DFT (GGA-PBEsol) results for a relaxed structure of BeHgMoOs2.

Summary:
Total magnetization (Bohr magnetons per cell): 0.0
VASP energy (eV per atom): -6.29
E_form (kJ per mole of atoms): 179.4

```
data_BeHgMoOs2
_symmetry_space_group_name_H-M 'P 4/m m m'
_symmetry_Int_Tables_number 123
_symmetry_space_group_name_Hall '-P 4 2'
_cell_length_a 4.643
_cell_length_b 4.643
_cell_length_c 4.302
_cell_angle_alpha 90.00
_cell_angle_beta 90.00
_cell_angle_gamma 90.00
loop_
_atom_site_label
_atom_site_type_symbol
_atom_site_fract_x
_atom_site_fract_y
_atom_site_fract_z
Be1 Be 0.000 0.000 0.000
Hg1 Hg 0.500 0.500 0.000
Mo1 Mo 0.000 0.000 0.500
Os1 Os 0.000 0.500 0.500
```